Material: Rb2NbS
Method: DFT, GGA-PBE
State: relaxed Values from VASP.

The structure in Quantum ESPRESSO input format:
```
&SYSTEM
  ibrav = 0, nat = 8, ntyp = 3
/
ATOMIC_SPECIES
Rb 85.47 Rb.upf
Nb 92.91 Nb.upf
S 32.06 S.upf
ATOMIC_POSITIONS angstrom
Rb 0.818 3.257 0.603
Rb -3.257 5.697 1.809
Rb -0.818 9.772 0.603
Rb 3.257 7.332 1.809
Nb 6.514 0.000 1.206
Nb 0.000 0.000 2.412
S 0.000 0.000 0.000
S 0.000 6.514 1.206
CELL_PARAMETERS angstrom
-6.514 6.514 2.412
6.514 -6.514 2.412
6.514 6.514 -2.412
```

* E_tot: -31.468 eV per cell
* ΔE_f (raw): 99.6 meV per atom
* space-group type: No. 122

Material: RbNbS3
Method: DFT, GGA-PBE
State: relaxed Values from VASP.

The structure in Quantum ESPRESSO input format:
```
&SYSTEM
  ibrav = 0, nat = 10, ntyp = 3
/
ATOMIC_SPECIES
Rb 85.47 Rb.upf
Nb 92.91 Nb.upf
S 32.06 S.upf
ATOMIC_POSITIONS angstrom
Rb 1.271 0.000 1.783
Rb 15.539 0.000 5.670
Nb 5.899 0.000 1.266
Nb 10.912 0.000 6.187
S 1.755 0.000 6.973
S 5.213 0.000 3.372
S 8.137 0.000 1.124
S 8.674 0.000 6.328
S 11.598 0.000 4.081
S 15.056 0.000 0.480
CELL_PARAMETERS angstrom
9.532 -2.348 0.000
9.532 2.348 0.000
-2.253 0.000 7.452
```

* energy above the most stable polymorph in this dataset: 74 meV/atom
* E_tot: -56.945 eV per cell
* ΔE_f (raw): -1010.6 meV per atom
* space-group type: No. 12

Material: Rb2NbS4
Method: DFT, GGA-PBE
State: relaxed Values from VASP.

The structure in Quantum ESPRESSO input format:
```
&SYSTEM
  ibrav = 0, nat = 14, ntyp = 3
/
ATOMIC_SPECIES
Rb 85.47 Rb.upf
Nb 92.91 Nb.upf
S 32.06 S.upf
ATOMIC_POSITIONS angstrom
Rb 1.162 1.422 4.815
Rb 0.494 1.422 11.798
Rb 5.749 4.265 0.213
Rb 5.082 4.265 7.195
Nb 1.325 4.265 8.869
Nb 4.919 1.422 3.141
S -0.583 4.265 10.122
S 0.942 4.265 6.639
S 3.365 3.012 2.465
S 3.365 5.518 2.465
S 2.878 0.169 9.546
S 2.878 2.675 9.546
S 5.301 1.422 5.371
S 6.826 1.422 1.889
CELL_PARAMETERS angstrom
7.628 0.000 0.000
0.000 5.687 0.000
-1.384 0.000 12.010
```

* energy above the most stable polymorph in this dataset: 0 meV/atom
* E_tot: -70.923 eV per cell
* ΔE_f (raw): -992.4 meV per atom
* space-group type: No. 11

> What is the ΔE_f (raw) in the third record?

-992.4 meV per atom

What did the first record say?
Material: Rb2NbS
Method: DFT, GGA-PBE
State: relaxed Values from VASP.

The structure in Quantum ESPRESSO input format:
```
&SYSTEM
  ibrav = 0, nat = 8, ntyp = 3
/
ATOMIC_SPECIES
Rb 85.47 Rb.upf
Nb 92.91 Nb.upf
S 32.06 S.upf
ATOMIC_POSITIONS angstrom
Rb 0.818 3.257 0.603
Rb -3.257 5.697 1.809
Rb -0.818 9.772 0.603
Rb 3.257 7.332 1.809
Nb 6.514 0.000 1.206
Nb 0.000 0.000 2.412
S 0.000 0.000 0.000
S 0.000 6.514 1.206
CELL_PARAMETERS angstrom
-6.514 6.514 2.412
6.514 -6.514 2.412
6.514 6.514 -2.412
```

* E_tot: -31.468 eV per cell
* ΔE_f (raw): 99.6 meV per atom
* space-group type: No. 122

Copy entry 2 word for word.
Material: RbNbS3
Method: DFT, GGA-PBE
State: relaxed Values from VASP.

The structure in Quantum ESPRESSO input format:
```
&SYSTEM
  ibrav = 0, nat = 10, ntyp = 3
/
ATOMIC_SPECIES
Rb 85.47 Rb.upf
Nb 92.91 Nb.upf
S 32.06 S.upf
ATOMIC_POSITIONS angstrom
Rb 1.271 0.000 1.783
Rb 15.539 0.000 5.670
Nb 5.899 0.000 1.266
Nb 10.912 0.000 6.187
S 1.755 0.000 6.973
S 5.213 0.000 3.372
S 8.137 0.000 1.124
S 8.674 0.000 6.328
S 11.598 0.000 4.081
S 15.056 0.000 0.480
CELL_PARAMETERS angstrom
9.532 -2.348 0.000
9.532 2.348 0.000
-2.253 0.000 7.452
```

* energy above the most stable polymorph in this dataset: 74 meV/atom
* E_tot: -56.945 eV per cell
* ΔE_f (raw): -1010.6 meV per atom
* space-group type: No. 12

What did the second record say?
Material: RbNbS3
Method: DFT, GGA-PBE
State: relaxed Values from VASP.

The structure in Quantum ESPRESSO input format:
```
&SYSTEM
  ibrav = 0, nat = 10, ntyp = 3
/
ATOMIC_SPECIES
Rb 85.47 Rb.upf
Nb 92.91 Nb.upf
S 32.06 S.upf
ATOMIC_POSITIONS angstrom
Rb 1.271 0.000 1.783
Rb 15.539 0.000 5.670
Nb 5.899 0.000 1.266
Nb 10.912 0.000 6.187
S 1.755 0.000 6.973
S 5.213 0.000 3.372
S 8.137 0.000 1.124
S 8.674 0.000 6.328
S 11.598 0.000 4.081
S 15.056 0.000 0.480
CELL_PARAMETERS angstrom
9.532 -2.348 0.000
9.532 2.348 0.000
-2.253 0.000 7.452
```

* energy above the most stable polymorph in this dataset: 74 meV/atom
* E_tot: -56.945 eV per cell
* ΔE_f (raw): -1010.6 meV per atom
* space-group type: No. 12